# 1
## KIrS (PBE)

Data for a relaxed KIrS crystal.

## Properties
Volume, Å³ per atom: 23.3
Raw formation energy, eV/atom: -0.3460
Space-group type: Pm, No. 6
VASP energy, eV/atom: -5.041
Distance to the lowest polymorph of the same formula, meV per atom: 23

a b c (Å): 4.190 5.336 6.301
angles (deg): 90.00 97.78 90.00
Sites, in units of the cell vectors:
K: 0.000 0.000 0.000
K: 0.415 0.000 0.530
Ir: 0.524 0.500 0.903
Ir: 0.842 0.500 0.317
S: 0.320 0.500 0.211
S: 0.944 0.500 0.691



# 2
## RbLaC3 (PBE)

Data for a relaxed RbLaC3 crystal.

## Properties
Volume, Å³ per atom: 22.9
Energy relative to the elements, eV/f.u.: 11.89
Space-group type: Pm-3m, No. 221
VASP energy, eV/atom: -4.334
Distance to the lowest polymorph of the same formula, meV per atom: 0

a b c (Å): 4.857 4.857 4.857
angles (deg): 90.00 90.00 90.00
Sites, in units of the cell vectors:
Rb: 0.000 0.000 0.000
La: 0.500 0.500 0.500
C: 0.000 0.500 0.500
C: 0.500 0.000 0.500
C: 0.500 0.500 0.000



# 3
## GdYCu4 (PBE)

Data for a relaxed GdYCu4 crystal.

## Properties
Volume, Å³ per atom: 17.4
Energy relative to the elements, eV/f.u.: -0.91
Space-group type: F-43m, No. 216
VASP energy, eV/atom: -6.306
Distance to the lowest polymorph of the same formula, meV per atom: 107

a b c (Å): 5.285 5.285 5.285
angles (deg): 60.00 60.00 60.00
Sites, in units of the cell vectors:
Gd: 0.000 0.000 0.000
Y: 0.250 0.250 0.250
Cu: 0.126 0.625 0.625
Cu: 0.625 0.126 0.625
Cu: 0.625 0.625 0.126
Cu: 0.625 0.625 0.625



# 4
## Li2TiPt9 (PBE)

Data for a relaxed Li2TiPt9 crystal.

## Properties
Volume, Å³ per atom: 14.9
Energy relative to the elements, eV/f.u.: -6.86
Space-group type: P4/mmm, No. 123
VASP energy, eV/atom: -6.079

a b c (Å): 3.912 3.912 11.675
angles (deg): 90.00 90.00 90.00
Sites, in units of the cell vectors:
Li: 0.000 0.000 0.163
Li: 0.000 0.000 0.837
Ti: 0.000 0.000 0.500
Pt: 0.000 0.500 0.000
Pt: 0.000 0.500 0.333
Pt: 0.000 0.500 0.667
Pt: 0.500 0.000 0.000
Pt: 0.500 0.000 0.333
Pt: 0.500 0.000 0.667
Pt: 0.500 0.500 0.166
Pt: 0.500 0.500 0.500
Pt: 0.500 0.500 0.834



# 5
## Fe2AgW (PBE)

Data for a relaxed Fe2AgW crystal.

## Properties
Volume, Å³ per atom: 13.9
Energy relative to the elements, eV/f.u.: 1.48
Space-group type: Pmmm, No. 47
VASP energy, eV/atom: -7.812
Distance to the lowest polymorph of the same formula, meV per atom: 70

a b c (Å): 3.035 3.048 6.015
angles (deg): 90.00 90.00 90.00
Sites, in units of the cell vectors:
Fe: 0.000 0.000 0.218
Fe: 0.000 0.000 0.782
Ag: 0.500 0.500 0.500
W: 0.500 0.500 0.000



# 6
## Sm3PaO7 (PBE)

Data for a relaxed Sm3PaO7 crystal.

## Properties
Volume, Å³ per atom: 15.4
Raw formation energy, eV/atom: -3.5323
Space-group type: C222_1, No. 20
VASP energy, eV/atom: -8.838

a b c (Å): 6.761 6.761 7.877
angles (deg): 90.00 90.00 109.79
Sites, in units of the cell vectors:
Sm: 0.001 0.001 0.000
Sm: 0.031 0.505 0.250
Sm: 0.495 0.969 0.250
Sm: 0.505 0.031 0.750
Sm: 0.969 0.495 0.750
Sm: 0.999 0.999 0.500
Pa: 0.500 0.500 0.000
Pa: 0.500 0.500 0.500
O: 0.133 0.867 0.250
O: 0.133 0.867 0.750
O: 0.166 0.415 0.970
O: 0.167 0.416 0.530
O: 0.407 0.593 0.250
O: 0.415 0.166 0.030
O: 0.416 0.167 0.470
O: 0.584 0.833 0.970
O: 0.585 0.834 0.530
O: 0.593 0.407 0.750
O: 0.833 0.584 0.030
O: 0.834 0.585 0.470
O: 0.867 0.133 0.250
O: 0.867 0.133 0.750



# 7
## NbNiW (PBE)

Data for a relaxed NbNiW crystal.

## Properties
Volume, Å³ per atom: 15.8
Energy relative to the elements, eV/f.u.: 1.17
Space-group type: Pmmn, No. 59
VASP energy, eV/atom: -9.211
Distance to the lowest polymorph of the same formula, meV per atom: 415

a b c (Å): 2.652 4.542 7.873
angles (deg): 90.00 90.00 90.00
Sites, in units of the cell vectors:
Nb: 0.250 0.250 0.085
Nb: 0.750 0.750 0.915
Ni: 0.250 0.250 0.443
Ni: 0.750 0.750 0.557
W: 0.250 0.750 0.274
W: 0.750 0.250 0.726



# 8
## RbAlNi2Pb (PBE)

Data for a relaxed RbAlNi2Pb crystal.

## Properties
Volume, Å³ per atom: 28.3
Energy relative to the elements, eV/f.u.: 4.13
Space-group type: P4/mmm, No. 123
VASP energy, eV/atom: -3.170

a b c (Å): 5.083 5.083 5.485
angles (deg): 90.00 90.00 90.00
Sites, in units of the cell vectors:
Rb: 0.000 0.000 0.000
Al: 0.500 0.500 0.000
Ni: 0.000 0.500 0.500
Ni: 0.500 0.000 0.500
Pb: 0.500 0.500 0.500



# 9
## Ac3Pm6Er (PBE)

Data for a relaxed Ac3Pm6Er crystal.

## Properties
Volume, Å³ per atom: 38.5
Energy relative to the elements, eV/f.u.: 3.57
Space-group type: R-3, No. 148
VASP energy, eV/atom: -4.182

a b c (Å): 7.280 7.280 7.280
angles (deg): 88.54 88.54 88.54
Sites, in units of the cell vectors:
Ac: 0.000 0.000 0.000
Ac: 0.258 0.258 0.258
Ac: 0.742 0.742 0.742
Pm: 0.097 0.749 0.423
Pm: 0.251 0.577 0.903
Pm: 0.423 0.097 0.749
Pm: 0.577 0.903 0.251
Pm: 0.749 0.423 0.097
Pm: 0.903 0.251 0.577
Er: 0.500 0.500 0.500



# 10
## Sm4YHo6 (PBE)

Data for a relaxed Sm4YHo6 crystal.

## Properties
Volume, Å³ per atom: 33.8
Energy relative to the elements, eV/f.u.: 3.35
Space-group type: I-42m, No. 121
VASP energy, eV/atom: -4.496
Distance to the lowest polymorph of the same formula, meV per atom: 0

a b c (Å): 9.727 9.727 9.727
angles (deg): 140.33 140.33 57.35
Sites, in units of the cell vectors:
Sm: 0.013 0.636 0.000
Sm: 0.364 0.364 0.377
Sm: 0.636 0.013 0.000
Sm: 0.987 0.987 0.623
Y: 0.000 0.000 0.000
Ho: 0.000 0.500 0.500
Ho: 0.194 0.194 0.643
Ho: 0.449 0.806 0.000
Ho: 0.500 0.000 0.500
Ho: 0.551 0.551 0.357
Ho: 0.806 0.449 0.000



# 11
## LaSe3 (PBE)

Data for a relaxed LaSe3 crystal.

## Properties
Volume, Å³ per atom: 27.0
Raw formation energy, eV/atom: -1.0071
Space-group type: P2/m, No. 10
VASP energy, eV/atom: -4.852

a b c (Å): 4.264 4.213 6.082
angles (deg): 90.00 99.11 90.00
Sites, in units of the cell vectors:
La: 0.000 0.000 0.000
Se: 0.000 0.000 0.500
Se: 0.391 0.500 0.793
Se: 0.609 0.500 0.207



# 12
## La5TbGa4 (PBE)

Data for a relaxed La5TbGa4 crystal.

## Properties
Volume, Å³ per atom: 30.2
Energy relative to the elements, eV/f.u.: -3.71
Space-group type: C2/m, No. 12
VASP energy, eV/atom: -4.508

a b c (Å): 10.331 10.331 7.249
angles (deg): 102.86 102.86 23.67
Sites, in units of the cell vectors:
La: 0.000 0.000 0.000
La: 0.276 0.276 0.737
La: 0.380 0.380 0.226
La: 0.620 0.620 0.774
La: 0.724 0.724 0.263
Tb: 0.000 0.000 0.500
Ga: 0.140 0.140 0.440
Ga: 0.433 0.433 0.704
Ga: 0.567 0.567 0.296
Ga: 0.860 0.860 0.560



# 13
## Si2NiAu (PBE)

Data for a relaxed Si2NiAu crystal.

## Properties
Volume, Å³ per atom: 14.3
Raw formation energy, eV/atom: 0.1863
Space-group type: Pmmm, No. 47
VASP energy, eV/atom: -4.790

a b c (Å): 3.681 3.926 3.971
angles (deg): 90.00 90.00 90.00
Sites, in units of the cell vectors:
Si: 0.000 0.000 0.000
Si: 0.000 0.500 0.500
Ni: 0.500 0.000 0.500
Au: 0.500 0.500 0.000



# 14
## LiBe6Pd12 (PBE)

Data for a relaxed LiBe6Pd12 crystal.

## Properties
Volume, Å³ per atom: 13.4
Energy relative to the elements, eV/f.u.: -6.40
Space-group type: R-3, No. 148
VASP energy, eV/atom: -4.894

a b c (Å): 6.933 6.933 6.933
angles (deg): 109.73 109.73 109.73
Sites, in units of the cell vectors:
Li: 0.000 0.000 0.000
Be: 0.207 0.648 0.333
Be: 0.333 0.207 0.648
Be: 0.352 0.667 0.793
Be: 0.648 0.333 0.207
Be: 0.667 0.793 0.352
Be: 0.793 0.352 0.667
Pd: 0.010 0.842 0.323
Pd: 0.151 0.356 0.432
Pd: 0.158 0.677 0.990
Pd: 0.323 0.010 0.842
Pd: 0.356 0.432 0.151
Pd: 0.432 0.151 0.356
Pd: 0.568 0.849 0.644
Pd: 0.644 0.568 0.849
Pd: 0.677 0.990 0.158
Pd: 0.842 0.323 0.010
Pd: 0.849 0.644 0.568
Pd: 0.990 0.158 0.677



# 15
## NdGdNi (PBE)

Data for a relaxed NdGdNi crystal.

## Properties
Volume, Å³ per atom: 28.6
Energy relative to the elements, eV/f.u.: -0.35
Space-group type: P3m1, No. 156
VASP energy, eV/atom: -8.328
Distance to the lowest polymorph of the same formula, meV per atom: 49

a b c (Å): 3.938 3.938 6.392
angles (deg): 90.00 90.00 120.00
Sites, in units of the cell vectors:
Nd: 0.000 0.000 0.000
Gd: 0.333 0.667 0.491
Ni: 0.667 0.333 0.253



# 16
## LaNbRh3 (PBE)

Data for a relaxed LaNbRh3 crystal.

## Properties
Volume, Å³ per atom: 22.4
Energy relative to the elements, eV/f.u.: 6.49
Space-group type: Pm-3m, No. 221
VASP energy, eV/atom: -6.112
Distance to the lowest polymorph of the same formula, meV per atom: 1279

a b c (Å): 4.819 4.819 4.819
angles (deg): 90.00 90.00 90.00
Sites, in units of the cell vectors:
La: 0.000 0.000 0.000
Nb: 0.500 0.500 0.500
Rh: 0.000 0.000 0.500
Rh: 0.000 0.500 0.000
Rh: 0.500 0.000 0.000



# 17
## Pr2SmY4 (PBE)

Data for a relaxed Pr2SmY4 crystal.

## Properties
Volume, Å³ per atom: 67.9
Energy relative to the elements, eV/f.u.: 12.29
Space-group type: I4/mmm, No. 139
VASP energy, eV/atom: -3.978
Distance to the lowest polymorph of the same formula, meV per atom: 1510

a b c (Å): 8.719 8.719 8.719
angles (deg): 119.07 119.07 91.61
Sites, in units of the cell vectors:
Pr: 0.250 0.750 0.500
Pr: 0.750 0.250 0.500
Sm: 0.000 0.000 0.000
Y: 0.000 0.327 0.327
Y: 0.000 0.673 0.673
Y: 0.327 0.000 0.327
Y: 0.673 0.000 0.673



# 18
## TbMgInCl6 (PBE)

Data for a relaxed TbMgInCl6 crystal.

## Properties
Volume, Å³ per atom: 31.2
Raw formation energy, eV/atom: -1.8279
Space-group type: P-31c, No. 163
VASP energy, eV/atom: -4.055

a b c (Å): 6.806 6.806 14.014
angles (deg): 90.00 90.00 120.00
Sites, in units of the cell vectors:
Tb: 0.333 0.667 0.250
Tb: 0.667 0.333 0.750
Mg: 0.333 0.667 0.750
Mg: 0.667 0.333 0.250
In: 0.000 0.000 0.000
In: 0.000 0.000 0.500
Cl: 0.015 0.380 0.645
Cl: 0.015 0.634 0.855
Cl: 0.366 0.380 0.855
Cl: 0.366 0.985 0.645
Cl: 0.380 0.015 0.145
Cl: 0.380 0.366 0.355
Cl: 0.620 0.634 0.645
Cl: 0.620 0.985 0.855
Cl: 0.634 0.015 0.355
Cl: 0.634 0.620 0.145
Cl: 0.985 0.366 0.145
Cl: 0.985 0.620 0.355



# 19
## YMgZnIn2 (PBE)

Data for a relaxed YMgZnIn2 crystal.

## Properties
Volume, Å³ per atom: 28.0
Energy relative to the elements, eV/f.u.: 0.81
Space-group type: P4/mmm, No. 123
VASP energy, eV/atom: -2.799

a b c (Å): 5.080 5.080 5.424
angles (deg): 90.00 90.00 90.00
Sites, in units of the cell vectors:
Y: 0.000 0.000 0.000
Mg: 0.500 0.500 0.000
Zn: 0.000 0.000 0.500
In: 0.000 0.500 0.500
In: 0.500 0.000 0.500



# 20
## Ge2SbH (PBE)

Data for a relaxed Ge2SbH crystal.

## Properties
Volume, Å³ per atom: 19.0
Space-group type: Fm-3m, No. 225
VASP energy, eV/atom: -3.569
Distance to the lowest polymorph of the same formula, meV per atom: 216

a b c (Å): 4.752 4.752 4.752
angles (deg): 60.00 60.00 60.00
Sites, in units of the cell vectors:
Ge: 0.250 0.250 0.250
Ge: 0.750 0.750 0.750
Sb: 0.000 0.000 0.000
H: 0.500 0.500 0.500



# 21
## Pr5Sm2In5 (PBE)

Data for a relaxed Pr5Sm2In5 crystal.

## Properties
Volume, Å³ per atom: 30.6
Energy relative to the elements, eV/f.u.: -3.82
Space-group type: C2/m, No. 12
VASP energy, eV/atom: -4.237

a b c (Å): 6.459 6.459 12.362
angles (deg): 107.36 107.36 48.92
Sites, in units of the cell vectors:
Pr: 0.000 0.000 0.000
Pr: 0.135 0.135 0.775
Pr: 0.156 0.156 0.501
Pr: 0.844 0.844 0.499
Pr: 0.865 0.865 0.225
Sm: 0.432 0.432 0.743
Sm: 0.568 0.568 0.257
In: 0.230 0.230 0.269
In: 0.325 0.325 0.039
In: 0.500 0.500 0.500
In: 0.675 0.675 0.961
In: 0.770 0.770 0.731



# 22
## Pm4Nd5Dy (PBE)

Data for a relaxed Pm4Nd5Dy crystal.

## Properties
Volume, Å³ per atom: 34.5
Energy relative to the elements, eV/f.u.: 0.14
Space-group type: P-1, No. 2
VASP energy, eV/atom: -4.730
Distance to the lowest polymorph of the same formula, meV per atom: 0

a b c (Å): 3.653 9.663 10.351
angles (deg): 74.44 89.92 79.12
Sites, in units of the cell vectors:
Pm: 0.099 0.301 0.297
Pm: 0.300 0.899 0.900
Pm: 0.700 0.101 0.100
Pm: 0.901 0.699 0.703
Nd: 0.099 0.302 0.802
Nd: 0.301 0.900 0.400
Nd: 0.500 0.500 0.500
Nd: 0.699 0.100 0.600
Nd: 0.901 0.698 0.198
Dy: 0.500 0.500 0.000



# 23
## Y5PuTe6 (PBE)

Data for a relaxed Y5PuTe6 crystal.

## Properties
Volume, Å³ per atom: 29.6
Raw formation energy, eV/atom: -1.2905
Space-group type: C2/m, No. 12
VASP energy, eV/atom: -6.749

a b c (Å): 7.559 7.559 7.617
angles (deg): 99.52 99.52 120.04
Sites, in units of the cell vectors:
Y: 0.000 0.000 0.000
Y: 0.168 0.832 0.500
Y: 0.334 0.666 0.000
Y: 0.666 0.334 0.000
Y: 0.832 0.168 0.500
Pu: 0.500 0.500 0.500
Te: 0.080 0.416 0.248
Te: 0.247 0.247 0.750
Te: 0.416 0.080 0.248
Te: 0.584 0.920 0.752
Te: 0.753 0.753 0.250
Te: 0.920 0.584 0.752



# 24
## YZnGaPd3 (PBE)

Data for a relaxed YZnGaPd3 crystal.

## Properties
Volume, Å³ per atom: 18.7
Energy relative to the elements, eV/f.u.: -3.25
Space-group type: Cmcm, No. 63
VASP energy, eV/atom: -4.933

a b c (Å): 6.865 6.865 5.717
angles (deg): 90.00 90.00 123.57
Sites, in units of the cell vectors:
Y: 0.195 0.805 0.750
Y: 0.805 0.195 0.250
Zn: 0.433 0.567 0.750
Zn: 0.567 0.433 0.250
Ga: 0.137 0.863 0.250
Ga: 0.863 0.137 0.750
Pd: 0.211 0.211 0.000
Pd: 0.211 0.211 0.500
Pd: 0.341 0.659 0.250
Pd: 0.659 0.341 0.750
Pd: 0.789 0.789 0.000
Pd: 0.789 0.789 0.500